A plane-wave DFT calculation with PBE was carried out for Cd6Hg5Bi2 after structural relaxation.

abc: 3.5209 14.0229 14.3547
angles: 90.00 90.00 90.00
Closest atoms and distances in Å follow each position.
Element x y z (fractional)
Bi 0.0000 0.1874 0.7976  4 Cd 2.98-3.06
Bi 0.0000 0.8126 0.2024  4 Cd 2.98-3.06
Bi 0.0000 0.6874 0.7024  4 Cd 2.98-3.06
Hg 0.5000 0.6515 0.4854  3 Cd 2.94-3.03
Cd 0.5000 0.1713 0.6235  2 Hg 2.94-2.99, 2 Bi 3.06, 2 Cd 3.11
Cd 0.0000 0.5064 0.3880  1 Bi 3.01, 6 Hg 3.03-3.36, 1 Cd 3.22
Cd 0.0000 0.1630 0.4451  1 Bi 2.98, 6 Hg 2.99-3.30, 2 Cd 3.11
Cd 0.0000 0.8370 0.5549  1 Bi 2.98, 6 Hg 2.99-3.30, 2 Cd 3.11
Hg 0.5000 0.9378 0.7197  4 Cd 3.09-3.27, 1 Hg 3.27
Cd 0.0000 0.3370 0.9451  1 Bi 2.98, 6 Hg 2.99-3.30, 2 Cd 3.11
Cd 0.0000 0.9936 0.8880  1 Bi 3.01, 6 Hg 3.03-3.36, 1 Cd 3.22
Hg 0.5000 0.1515 0.0146  3 Cd 2.94-3.03
Hg 0.5000 0.3485 0.5146  3 Cd 2.94-3.03
Hg 0.5000 0.0000 0.5000  6 Cd 2.99, 2 Hg 3.27
Cd 0.5000 0.6713 0.8765  2 Hg 2.94-2.99, 2 Bi 3.06, 2 Cd 3.11
Bi 0.0000 0.3126 0.2976  4 Cd 2.98-3.06
Hg 0.5000 0.5000 0.0000  6 Cd 2.99, 2 Hg 3.27
Hg 0.5000 0.4378 0.7803  4 Cd 3.09-3.27, 1 Hg 3.27
Cd 0.0000 0.4936 0.6120  1 Bi 3.01, 6 Hg 3.03-3.36, 1 Cd 3.22
Hg 0.5000 0.5622 0.2197  4 Cd 3.09-3.27, 1 Hg 3.27
Hg 0.5000 0.8485 0.9854  3 Cd 2.94-3.03
Cd 0.5000 0.3287 0.1235  2 Hg 2.94-2.99, 2 Bi 3.06, 2 Cd 3.11
Cd 0.0000 0.6630 0.0549  1 Bi 2.98, 6 Hg 2.99-3.30, 2 Cd 3.11
Hg 0.5000 0.0622 0.2803  4 Cd 3.09-3.27, 1 Hg 3.27
Cd 0.5000 0.8287 0.3765  2 Hg 2.94-2.99, 2 Bi 3.06, 2 Cd 3.11
Cd 0.0000 0.0064 0.1120  1 Bi 3.01, 6 Hg 3.03-3.36, 1 Cd 3.22

Summary:
The density of states at the Fermi level comes out at 6.677 states/eV per cell. The crystal system is orthorhombic. The calculation puts the formation energy at 0.046 eV/atom. For the total moment, the calculation gives 0.0 μB per cell. The calculation puts the electronic total energy at -1.09 eV per atom.

A plane-wave DFT calculation with PBE was carried out for Cd5Hg3Bi12 after structural relaxation.

abc: 15.4847 15.4847 15.4847
angles: 109.47 109.47 109.47
Closest atoms and distances in Å follow each position.
Element x y z (fractional)
Hg 0.7500 0.8750 0.6250  4 Bi 3.01
Bi 0.9335 0.8342 0.5692  1 Hg 3.01, 2 Cd 3.05-3.10, 1 Bi 3.24
Bi 0.0665 0.9007 0.1357  1 Hg 3.01, 2 Cd 3.05-3.10, 1 Bi 3.24
Cd 0.0000 0.5000 0.0000  6 Bi 3.10
Bi 0.3342 0.5692 0.4335  1 Hg 3.01, 2 Cd 3.05-3.10, 1 Bi 3.24
Bi 0.1658 0.0993 0.7349  1 Hg 3.01, 2 Cd 3.05-3.10, 1 Bi 3.24
Hg 0.2500 0.1250 0.3750  4 Bi 3.01
Bi 0.1357 0.7349 0.5692  1 Hg 3.01, 2 Cd 3.05-3.10, 1 Bi 3.24
Bi 0.9007 0.0665 0.6357  1 Hg 3.01, 2 Cd 3.05-3.10, 1 Bi 3.24
Hg 0.6250 0.3750 0.7500  4 Bi 3.01
Cd 0.5000 0.5000 0.5000  6 Bi 3.10
Bi 0.1357 0.4007 0.0665  1 Hg 3.01, 2 Cd 3.05-3.10, 1 Bi 3.24
Bi 0.7651 0.3342 0.9007  1 Hg 3.01, 2 Cd 3.05-3.10, 1 Bi 3.24
Hg 0.8750 0.1250 0.2500  4 Bi 3.01
Bi 0.8643 0.2651 0.4308  1 Hg 3.01, 2 Cd 3.05-3.10, 1 Bi 3.24
Cd 0.6250 0.8750 0.2500  4 Bi 3.05
Cd 0.7500 0.1250 0.8750  4 Bi 3.05
Bi 0.8342 0.9007 0.2651  1 Hg 3.01, 2 Cd 3.05-3.10, 1 Bi 3.24
Bi 0.2349 0.6658 0.0993  1 Hg 3.01, 2 Cd 3.05-3.10, 1 Bi 3.24
Cd 0.5000 0.5000 0.0000  6 Bi 3.10
Cd 0.2500 0.8750 0.1250  4 Bi 3.05
Bi 0.4007 0.2651 0.3342  1 Hg 3.01, 2 Cd 3.05-3.10, 1 Bi 3.24
Cd 0.3750 0.2500 0.1250  4 Bi 3.05
Bi 0.9007 0.8342 0.7651  1 Hg 3.01, 2 Cd 3.05-3.10, 1 Bi 3.24
Hg 0.8750 0.7500 0.1250  4 Bi 3.01
Bi 0.6658 0.2349 0.5993  1 Hg 3.01, 2 Cd 3.05-3.10, 1 Bi 3.24
Bi 0.4308 0.7651 0.8643  1 Hg 3.01, 2 Cd 3.05-3.10, 1 Bi 3.24
Bi 0.0665 0.1658 0.4308  1 Hg 3.01, 2 Cd 3.05-3.10, 1 Bi 3.24
Bi 0.8643 0.5993 0.9335  1 Hg 3.01, 2 Cd 3.05-3.10, 1 Bi 3.24
Bi 0.5665 0.6357 0.4007  1 Hg 3.01, 2 Cd 3.05-3.10, 1 Bi 3.24
Bi 0.5692 0.3342 0.9335  1 Hg 3.01, 2 Cd 3.05-3.10, 1 Bi 3.24
Bi 0.5993 0.8643 0.4335  1 Hg 3.01, 2 Cd 3.05-3.10, 1 Bi 3.24
Hg 0.7500 0.3750 0.1250  4 Bi 3.01
Cd 0.5000 0.0000 0.5000  6 Bi 3.10
Bi 0.7349 0.5993 0.1658  1 Hg 3.01, 2 Cd 3.05-3.10, 1 Bi 3.24
Bi 0.2651 0.4007 0.8342  1 Hg 3.01, 2 Cd 3.05-3.10, 1 Bi 3.24
Bi 0.0993 0.9335 0.3643  1 Hg 3.01, 2 Cd 3.05-3.10, 1 Bi 3.24
Bi 0.7651 0.4308 0.3643  1 Hg 3.01, 2 Cd 3.05-3.10, 1 Bi 3.24
Cd 0.0000 0.0000 0.0000  6 Bi 3.10
Cd 0.3750 0.1250 0.7500  4 Bi 3.05
Bi 0.4007 0.1357 0.5665  1 Hg 3.01, 2 Cd 3.05-3.10, 1 Bi 3.24
Bi 0.9308 0.3643 0.2651  1 Hg 3.01, 2 Cd 3.05-3.10, 1 Bi 3.24
Hg 0.2500 0.6250 0.8750  4 Bi 3.01
Bi 0.3643 0.9308 0.7651  1 Hg 3.01, 2 Cd 3.05-3.10, 1 Bi 3.24
Cd 0.1250 0.7500 0.3750  4 Bi 3.05
Cd 0.8750 0.2500 0.6250  4 Bi 3.05
Bi 0.0692 0.4335 0.8342  1 Hg 3.01, 2 Cd 3.05-3.10, 1 Bi 3.24
Bi 0.6357 0.0692 0.2349  1 Hg 3.01, 2 Cd 3.05-3.10, 1 Bi 3.24
Hg 0.1250 0.8750 0.7500  4 Bi 3.01
Bi 0.0692 0.6357 0.7349  1 Hg 3.01, 2 Cd 3.05-3.10, 1 Bi 3.24
Cd 0.5000 0.0000 0.0000  6 Bi 3.10
Bi 0.9308 0.5665 0.1658  1 Hg 3.01, 2 Cd 3.05-3.10, 1 Bi 3.24
Hg 0.6250 0.2500 0.3750  4 Bi 3.01
Bi 0.2651 0.8643 0.9308  1 Hg 3.01, 2 Cd 3.05-3.10, 1 Bi 3.24
Bi 0.5665 0.9308 0.6658  1 Hg 3.01, 2 Cd 3.05-3.10, 1 Bi 3.24
Bi 0.4308 0.6658 0.0665  1 Hg 3.01, 2 Cd 3.05-3.10, 1 Bi 3.24
Bi 0.6658 0.4308 0.5665  1 Hg 3.01, 2 Cd 3.05-3.10, 1 Bi 3.24
Cd 0.1250 0.3750 0.2500  4 Bi 3.05
Cd 0.2500 0.3750 0.6250  4 Bi 3.05
Bi 0.0993 0.1658 0.2349  1 Hg 3.01, 2 Cd 3.05-3.10, 1 Bi 3.24
Cd 0.0000 0.5000 0.5000  6 Bi 3.10
Bi 0.4335 0.3643 0.5993  1 Hg 3.01, 2 Cd 3.05-3.10, 1 Bi 3.24
Bi 0.2349 0.5692 0.6357  1 Hg 3.01, 2 Cd 3.05-3.10, 1 Bi 3.24
Cd 0.0000 0.0000 0.5000  6 Bi 3.10
Bi 0.8342 0.9335 0.0692  1 Hg 3.01, 2 Cd 3.05-3.10, 1 Bi 3.24
Bi 0.7349 0.1357 0.0692  1 Hg 3.01, 2 Cd 3.05-3.10, 1 Bi 3.24
Cd 0.6250 0.7500 0.8750  4 Bi 3.05
Bi 0.5993 0.7349 0.6658  1 Hg 3.01, 2 Cd 3.05-3.10, 1 Bi 3.24
Cd 0.8750 0.6250 0.7500  4 Bi 3.05
Bi 0.3342 0.7651 0.4007  1 Hg 3.01, 2 Cd 3.05-3.10, 1 Bi 3.24
Hg 0.3750 0.7500 0.6250  4 Bi 3.01
Cd 0.7500 0.6250 0.3750  4 Bi 3.05
Bi 0.6357 0.5665 0.9007  1 Hg 3.01, 2 Cd 3.05-3.10, 1 Bi 3.24
Bi 0.5692 0.2349 0.1357  1 Hg 3.01, 2 Cd 3.05-3.10, 1 Bi 3.24
Hg 0.3750 0.6250 0.2500  4 Bi 3.01
Bi 0.1658 0.0665 0.9308  1 Hg 3.01, 2 Cd 3.05-3.10, 1 Bi 3.24
Bi 0.4335 0.0692 0.3342  1 Hg 3.01, 2 Cd 3.05-3.10, 1 Bi 3.24
Bi 0.9335 0.0993 0.8643  1 Hg 3.01, 2 Cd 3.05-3.10, 1 Bi 3.24
Bi 0.3643 0.4335 0.0993  1 Hg 3.01, 2 Cd 3.05-3.10, 1 Bi 3.24
Hg 0.1250 0.2500 0.8750  4 Bi 3.01

Summary:
The density of states at the Fermi level comes out at 39.261 states/eV per cell. The crystal system is cubic. The calculation puts the formation energy at 0.237 eV/atom. For the total moment, the calculation gives 0.0 μB per cell. The calculation puts the electronic total energy at -2.37 eV per atom.

A plane-wave DFT calculation with PBE was carried out for CdHg12Bi6 after structural relaxation.

abc: 8.2880 8.2880 8.2880
angles: 94.06 94.06 94.06
Closest atoms and distances in Å follow each position.
Element x y z (fractional)
Hg 0.1444 0.1756 0.4149  3 Bi 3.08-3.36, 4 Hg 3.11-3.32
Hg 0.4263 0.4995 0.8044  5 Hg 3.13-3.38, 2 Bi 3.29-3.47
Hg 0.5005 0.1956 0.5737  5 Hg 3.13-3.38, 2 Bi 3.29-3.47
Hg 0.4149 0.1444 0.1756  3 Bi 3.08-3.36, 4 Hg 3.11-3.32
Cd 0.0000 0.0000 0.0000  6 Bi 3.11
Bi 0.9262 0.7112 0.2100  4 Hg 3.08-3.36, 1 Cd 3.11, 2 Bi 3.32
Bi 0.7112 0.2100 0.9262  4 Hg 3.08-3.36, 1 Cd 3.11, 2 Bi 3.32
Hg 0.8044 0.4263 0.4995  5 Hg 3.13-3.38, 2 Bi 3.29-3.47
Bi 0.2888 0.7900 0.0738  4 Hg 3.08-3.36, 1 Cd 3.11, 2 Bi 3.32
Hg 0.4995 0.8044 0.4263  5 Hg 3.13-3.38, 2 Bi 3.29-3.47
Hg 0.5737 0.5005 0.1956  5 Hg 3.13-3.38, 2 Bi 3.29-3.47
Hg 0.1956 0.5737 0.5005  5 Hg 3.13-3.38, 2 Bi 3.29-3.47
Hg 0.8556 0.8244 0.5851  3 Bi 3.08-3.36, 4 Hg 3.11-3.32
Hg 0.8244 0.5851 0.8556  3 Bi 3.08-3.36, 4 Hg 3.11-3.32
Bi 0.2100 0.9262 0.7112  4 Hg 3.08-3.36, 1 Cd 3.11, 2 Bi 3.32
Hg 0.1756 0.4149 0.1444  3 Bi 3.08-3.36, 4 Hg 3.11-3.32
Bi 0.7900 0.0738 0.2888  4 Hg 3.08-3.36, 1 Cd 3.11, 2 Bi 3.32
Hg 0.5851 0.8556 0.8244  3 Bi 3.08-3.36, 4 Hg 3.11-3.32
Bi 0.0738 0.2888 0.7900  4 Hg 3.08-3.36, 1 Cd 3.11, 2 Bi 3.32

Summary:
The density of states at the Fermi level comes out at 7.804 states/eV per cell. The crystal system is trigonal. The calculation puts the formation energy at 0.084 eV/atom. For the total moment, the calculation gives 0.0 μB per cell. The calculation puts the electronic total energy at -1.38 eV per atom.

A plane-wave DFT calculation with PBE was carried out for Cd4Hg2Bi after structural relaxation.

abc: 7.5023 6.1914 8.7828
angles: 90.00 116.54 90.00
Closest atoms and distances in Å follow each position.
Element x y z (fractional)
Cd 0.3904 0.9944 0.6456  5 Cd 3.03-3.23, 1 Bi 3.13, 2 Hg 3.23-3.26
Cd 0.6096 0.4944 0.3544  5 Cd 3.03-3.23, 1 Bi 3.13, 2 Hg 3.23-3.26
Bi 0.7900 0.2500 0.7612  3 Hg 3.10-3.33, 4 Cd 3.12-3.41
Cd 0.2610 0.7500 0.9052  4 Hg 3.02-3.10, 1 Bi 3.12, 3 Cd 3.15-3.23
Cd 0.9951 0.7500 0.5081  7 Cd 3.03-3.15, 2 Hg 3.14-3.38
Cd 0.7390 0.2500 0.0948  4 Hg 3.02-3.10, 1 Bi 3.12, 3 Cd 3.15-3.23
Hg 0.8126 0.7500 0.7676  4 Cd 3.02-3.23, 2 Bi 3.10, 1 Hg 3.15
Bi 0.2100 0.7500 0.2388  3 Hg 3.10-3.33, 4 Cd 3.12-3.41
Hg 0.2840 0.2500 0.9186  6 Cd 3.05-3.38, 1 Hg 3.15, 1 Bi 3.33
Cd 0.6096 0.0056 0.3544  5 Cd 3.03-3.23, 1 Bi 3.13, 2 Hg 3.23-3.26
Hg 0.1874 0.2500 0.2324  4 Cd 3.02-3.23, 2 Bi 3.10, 1 Hg 3.15
Hg 0.7160 0.7500 0.0814  6 Cd 3.05-3.38, 1 Hg 3.15, 1 Bi 3.33
Cd 0.3904 0.5056 0.6456  5 Cd 3.03-3.23, 1 Bi 3.13, 2 Hg 3.23-3.26
Cd 0.0049 0.2500 0.4919  7 Cd 3.03-3.15, 2 Hg 3.14-3.38

Summary:
Its excess energy over the best structure of this formula in the dataset is 0 meV/atom. The density of states at the Fermi level comes out at 3.325 states/eV per cell. The crystal system is monoclinic. The calculation puts the formation energy at 0.037 eV/atom. For the total moment, the calculation gives 0.0 μB per cell. The calculation puts the electronic total energy at -1.13 eV per atom.